# YTm2TlO (PBE, relaxed)
# **Formation energy from raw total energies**: -128.8 kJ/mol of atoms
# **ρ**: 10.1 g/cm³
data_YTm2TlO
_cell_length_a 4.694
_cell_length_b 4.694
_cell_length_c 4.837
_cell_angle_alpha 90.00
_cell_angle_beta 90.00
_cell_angle_gamma 90.00
_space_group_name_H-M_alt 'P 4/m m m'
_space_group_IT_number 123
_space_group_name_Hall '-P 4 2'
loop_
_atom_site_label
_atom_site_type_symbol
_atom_site_fract_x
_atom_site_fract_y
_atom_site_fract_z
Y1 Y 0.000 0.000 0.000
Tm1 Tm 0.000 0.500 0.500
Tl1 Tl 0.500 0.500 0.000
O1 O 0.000 0.000 0.500



# Y2TmTlO (PBE, relaxed)
# **Formation energy from raw total energies**: -130.2 kJ/mol of atoms
# **ρ**: 8.7 g/cm³
data_Y2TmTlO
_cell_length_a 4.827
_cell_length_b 4.827
_cell_length_c 4.669
_cell_angle_alpha 90.00
_cell_angle_beta 90.00
_cell_angle_gamma 90.00
_space_group_name_H-M_alt 'P 4/m m m'
_space_group_IT_number 123
_space_group_name_Hall '-P 4 2'
loop_
_atom_site_label
_atom_site_type_symbol
_atom_site_fract_x
_atom_site_fract_y
_atom_site_fract_z
Y1 Y 0.000 0.500 0.000
Tm1 Tm 0.000 0.000 0.500
Tl1 Tl 0.500 0.500 0.500
O1 O 0.000 0.000 0.000



# TmTlZnO4 (PBE, relaxed)
# **Formation energy from raw total energies**: -179.0 kJ/mol of atoms
# **ρ**: 8.4 g/cm³
data_TmTlZnO4
_cell_length_a 6.490
_cell_length_b 6.621
_cell_length_c 9.265
_cell_angle_alpha 90.00
_cell_angle_beta 90.00
_cell_angle_gamma 90.00
_space_group_name_H-M_alt 'I m m a'
_space_group_IT_number 74
_space_group_name_Hall '-I 2b 2'
loop_
_atom_site_label
_atom_site_type_symbol
_atom_site_fract_x
_atom_site_fract_y
_atom_site_fract_z
Tm1 Tm 0.000 0.000 0.000
Tl1 Tl 0.250 0.250 0.250
Zn1 Zn 0.000 0.250 0.621
O1 O 0.000 0.002 0.244
O2 O 0.234 0.250 0.998



# UTl6O12 (PBE, relaxed)
# **Formation energy from raw total energies**: -112.1 kJ/mol of atoms
# **ρ**: 9.8 g/cm³
data_UTl6O12
_cell_length_a 10.1170
_cell_length_b 10.1170
_cell_length_c 9.5302
_cell_angle_alpha 90.00
_cell_angle_beta 90.00
_cell_angle_gamma 120.00
_space_group_name_H-M_alt 'R -3'
_space_group_IT_number 148
_space_group_name_Hall '-R 3'
loop_
_atom_site_label
_atom_site_type_symbol
_atom_site_fract_x
_atom_site_fract_y
_atom_site_fract_z
U1 U 0.0000 0.0000 0.0000
Tl1 Tl 0.0344 0.7831 0.6449
O1 O 0.0175 0.7980 0.3961
O2 O 0.0174 0.8364 0.8790



# U2Tl3O7 (PBE, relaxed)
# **Formation energy from raw total energies**: -218.4 kJ/mol of atoms
# **ρ**: 8.9 g/cm³
data_U2Tl3O7
_cell_length_a 4.362
_cell_length_b 23.727
_cell_length_c 4.347
_cell_angle_alpha 90.00
_cell_angle_beta 90.00
_cell_angle_gamma 90.00
_space_group_name_H-M_alt 'C m m m'
_space_group_IT_number 65
_space_group_name_Hall '-C 2 2'
loop_
_atom_site_label
_atom_site_type_symbol
_atom_site_fract_x
_atom_site_fract_y
_atom_site_fract_z
U1 U 0.000 0.092 0.000
Tl1 Tl 0.000 0.316 0.500
Tl2 Tl 0.000 0.500 0.500
O1 O 0.000 0.000 0.000
O2 O 0.000 0.092 0.500
O3 O 0.000 0.174 0.000
O4 O 0.000 0.408 0.000



# U3Tl2O10 (PBE, relaxed)
# **Formation energy from raw total energies**: -251.9 kJ/mol of atoms
# **ρ**: 7.9 g/cm³
data_U3Tl2O10
_cell_length_a 19.906
_cell_length_b 6.895
_cell_length_c 8.522
_cell_angle_alpha 90.00
_cell_angle_beta 112.82
_cell_angle_gamma 90.00
_space_group_name_H-M_alt 'C 1 2/m 1'
_space_group_IT_number 12
_space_group_name_Hall '-C 2y'
loop_
_atom_site_label
_atom_site_type_symbol
_atom_site_fract_x
_atom_site_fract_y
_atom_site_fract_z
U1 U 0.000 0.248 0.000
U2 U 0.081 0.500 0.473
U3 U 0.186 0.500 0.012
Tl1 Tl 0.110 0.000 0.701
Tl2 Tl 0.202 0.000 0.351
O1 O 0.000 0.314 0.500
O2 O 0.021 0.000 0.160
O3 O 0.024 0.500 0.173
O4 O 0.101 0.265 0.016
O5 O 0.138 0.500 0.766
O6 O 0.139 0.282 0.467
O7 O 0.231 0.500 0.247
O8 O 0.250 0.250 0.000



# UTlO4 (PBE, relaxed)
# **Formation energy from raw total energies**: -143.5 kJ/mol of atoms
# **ρ**: 5.1 g/cm³
data_UTlO4
_cell_length_a 8.679
_cell_length_b 8.679
_cell_length_c 8.679
_cell_angle_alpha 90.00
_cell_angle_beta 90.00
_cell_angle_gamma 90.00
_space_group_name_H-M_alt 'F -4 3 m'
_space_group_IT_number 216
_space_group_name_Hall 'F -4 2 3'
loop_
_atom_site_label
_atom_site_type_symbol
_atom_site_fract_x
_atom_site_fract_y
_atom_site_fract_z
U1 U 0.000 0.000 0.000
Tl1 Tl 0.000 0.000 0.500
O1 O 0.129 0.129 0.871



# U4Tl3O12 (PBE, relaxed)
# **Formation energy from raw total energies**: -254.4 kJ/mol of atoms
# **ρ**: 9.1 g/cm³
data_U4Tl3O12
_cell_length_a 8.624
_cell_length_b 8.624
_cell_length_c 8.624
_cell_angle_alpha 90.00
_cell_angle_beta 90.00
_cell_angle_gamma 90.00
_space_group_name_H-M_alt 'I m -3 m'
_space_group_IT_number 229
_space_group_name_Hall '-I 4 2 3'
loop_
_atom_site_label
_atom_site_type_symbol
_atom_site_fract_x
_atom_site_fract_y
_atom_site_fract_z
U1 U 0.250 0.250 0.250
Tl1 Tl 0.000 0.000 0.500
O1 O 0.000 0.252 0.252